Entry 1:
Below is RbVCuH2 after structural relaxation, with properties calculated at the PBE-GGA level.

a b c (Å): 4.209 4.209 4.991
angles (deg): 90.00 90.00 90.00
Sites, in units of the cell vectors:
1 Rb 0.000 0.000 0.000
2 V 0.500 0.500 0.500
3 Cu 0.500 0.500 0.000
4 H 0.000 0.500 0.500
5 H 0.500 0.000 0.500

For the total energy, the calculation gives -18.1 eV for the cell shown. As for the volume: 88.41 Å³ per cell.

---

Entry 2:
Below is CuReH2 after structural relaxation, with properties calculated at the PBE-GGA level.

a b c (Å): 4.782 4.782 4.782
angles (deg): 126.26 126.26 79.46
Sites, in units of the cell vectors:
1 Cu 0.000 0.000 0.000
2 Cu 0.750 0.250 0.500
3 Re 0.250 0.750 0.500
4 Re 0.500 0.500 0.000
5 H 0.114 0.625 0.989
6 H 0.375 0.364 0.489
7 H 0.636 0.125 0.011
8 H 0.875 0.886 0.511

For the total energy, the calculation gives -43.1 eV for the cell shown. For the energy relative to the lowest polymorph listed for this composition, the calculation gives 0 meV/atom. As for the volume: 68.73 Å³ per cell.

---

Entry 3:
Below is Cu3ReH after structural relaxation, with properties calculated at the PBE-GGA level.

a b c (Å): 4.732 4.732 4.732
angles (deg): 90.00 90.00 90.00
Sites, in units of the cell vectors:
1 Cu 0.000 0.000 0.500
2 Cu 0.000 0.500 0.000
3 Cu 0.500 0.000 0.000
4 Re 0.000 0.000 0.000
5 H 0.500 0.500 0.500

For the total energy, the calculation gives -18.0 eV for the cell shown. For the energy relative to the lowest polymorph listed for this composition, the calculation gives 1485 meV/atom. As for the volume: 105.94 Å³ per cell.

---

Entry 4:
Below is Cu3ReH after structural relaxation, with properties calculated at the PBE-GGA level.

a b c (Å): 3.761 3.761 3.761
angles (deg): 90.00 90.00 90.00
Sites, in units of the cell vectors:
1 Cu 0.000 0.000 0.500
2 Cu 0.000 0.500 0.000
3 Cu 0.500 0.000 0.000
4 Re 0.500 0.500 0.500
5 H 0.000 0.000 0.000

For the total energy, the calculation gives -25.4 eV for the cell shown. For the energy relative to the lowest polymorph listed for this composition, the calculation gives 0 meV/atom. As for the volume: 53.19 Å³ per cell.